1.
DFT (PBE) results for crystalline Ac2PdAu at its relaxed geometry.

Summary:
- E_form (eV per atom) = -0.8102
- calculated volume (Å³ per cell) = 238

abc: 6.2131 4.8803 8.3359
angles: 90.00 109.59 90.00
Closest atoms and distances in Å follow each position.
Space group P2_1/m (No. 11)
Asymmetric unit:
Ac1 0.2268 0.2500 0.4362 [2 per cell]  4 Pd 3.22-3.38, 3 Au 3.28-3.31
Ac2 0.2317 0.2500 0.9295 [2 per cell]  3 Pd 3.23-3.35, 4 Au 3.27-3.30
Pd1 0.3237 0.7500 0.7068 [2 per cell]  2 Au 3.18, 7 Ac 3.22-3.38
Au1 0.3273 0.7500 0.2076 [2 per cell]  2 Pd 3.18, 7 Ac 3.27-3.31

2.
DFT (PBE) results for crystalline Ac2Pd3Au4 at its relaxed geometry.

Summary:
- E_form (eV per atom) = -0.7199
- calculated volume (Å³ per cell) = 773

abc: 5.6306 9.6382 14.2363
angles: 90.00 90.00 90.00
Closest atoms and distances in Å follow each position.
Space group Fmmm (No. 69)
Asymmetric unit:
Ac1 0.0000 0.0000 0.1311 [8 per cell]  8 Au 3.26-3.29, 6 Pd 3.36-3.38
Pd1 0.0000 0.0000 0.5000 [4 per cell]  4 Pd 2.79, 4 Au 2.87
Pd2 0.2500 0.2500 0.0000 [8 per cell]  4 Pd 2.79-2.82, 4 Au 2.91
Au1 0.0000 0.1629 0.3315 [16 per cell]  2 Au 2.86-3.14, 3 Pd 2.87-2.91

3.
DFT (PBE) results for crystalline Ac8PdAu2 at its relaxed geometry.

Summary:
- E_form (eV per atom) = -0.3712
- calculated volume (Å³ per cell) = 796

abc: 19.6568 5.5274 7.4917
angles: 90.00 101.91 90.00
Closest atoms and distances in Å follow each position.
Space group C2/m (No. 12)
Asymmetric unit:
Ac1 0.0287 0.0000 0.2827 [4 per cell]  1 Au 3.17, 2 Pd 3.31
Ac2 0.0887 0.5000 0.9500 [4 per cell]  1 Pd 3.46, 5 Ac 3.71-3.79, 2 Au 3.84
Ac3 0.1636 0.5000 0.4797 [4 per cell]  3 Au 3.19-3.33, 1 Pd 3.25
Ac4 0.2040 0.0000 0.8424 [4 per cell]  1 Au 3.16
Pd1 0.0000 0.5000 0.5000 [2 per cell]  8 Ac 3.25-3.46
Au1 0.1872 0.0000 0.2527 [4 per cell]  5 Ac 3.16-3.33

4.
DFT (PBE) results for crystalline AcPd3Au at its relaxed geometry.

Summary:
- E_form (eV per atom) = -0.6084
- calculated volume (Å³ per cell) = 428

abc: 5.4323 8.3321 9.4596
angles: 90.00 90.00 90.00
Closest atoms and distances in Å follow each position.
Space group Imma (No. 74)
Asymmetric unit:
Ac1 0.0000 0.2500 0.0145 [4 per cell]  7 Pd 3.04-3.35
Pd1 0.0000 0.2500 0.6931 [4 per cell]  2 Au 2.77, 6 Pd 2.80-2.92, 1 Ac 3.04
Pd2 0.2500 0.0371 0.2500 [8 per cell]  4 Pd 2.72-2.80, 2 Au 2.74
Au1 0.0000 0.0000 0.5000 [4 per cell]  6 Pd 2.74-2.77